Computed, not measured: a relaxed Os2PtPb crystal at the GGA-PBE level of DFT.

a = 6.487 Å, b = 6.487 Å, c = 6.487 Å
α = 90.00°, β = 90.00°, γ = 90.00°
Space group F-43m (No. 216)
Inequivalent atoms, fractional coordinates:
Os: 0.000 0.000 0.000
Os: 0.250 0.250 0.250
Pt: 0.250 0.250 0.750
Pb: 0.000 0.000 0.500

- final energy (eV per atom) = -7.102
- theoretical density (g cm⁻³) = 19.04
- calculated volume (Å³/cell) = 273